Li4MnCu | PBE | relaxed

The structure in extended XYZ format:
```
6
Lattice="0.000 3.505 3.505 3.505 0.000 3.505 3.505 3.505 0.000" Properties=species:S:1:pos:R:3 pbc="T T T"
Li 2.633 2.633 2.633
Li 4.377 4.377 2.633
Li 4.377 2.633 4.377
Li 2.633 4.377 4.377
Mn 0.000 0.000 0.000
Cu 5.257 5.257 5.257
```

SG: F-43m
E_form: 300.4 meV/atom
calculated density: 2.820 Mg/m³